(1)
Computed, not measured: a relaxed Sr2GdRuO6 crystal at the PBE level of DFT.

As for the uncorrected energy: -8.046 eV/atom. Its total magnetic moment is 10.004 μB per formula unit. Its formation energy (no corrections) is -23.99 eV per formula unit. The distance to the lowest polymorph of the same formula is 0 kJ/mol of formula units.

Lattice parameters (Å, degrees): 5.9259 5.8403 10.1030 55.18 90.00 90.00
Closest atoms and distances in Å follow each position.
Fractional positions:
O  0.6956  0.2709  0.4584  1 Ru 1.99
O  0.1956  0.7291  0.0416  1 Ru 1.99
O  0.8044  0.2709  0.9584  1 Ru 1.99
Ru  0.0000  0.5000  0.0000  6 O 1.99-2.00
Gd  0.0000  0.0000  0.5000  6 O 2.27-2.28
Gd  0.5000  0.0000  0.0000  6 O 2.27-2.28
O  0.9761  0.8127  0.7683  1 Ru 1.99
Ru  0.5000  0.5000  0.5000  6 O 1.99-2.00
O  0.5239  0.8127  0.2683  1 Ru 1.99
O  0.4761  0.1873  0.7317  1 Ru 1.99
O  0.7719  0.6469  0.5450  1 Ru 2.00
O  0.2719  0.3531  0.9550  1 Ru 2.00
O  0.0239  0.1873  0.2317  1 Ru 1.99
Sr  0.5402  0.7393  0.7506  6 O 2.54-2.79
Sr  0.0402  0.2607  0.7494  6 O 2.54-2.79
Sr  0.4598  0.2607  0.2494  6 O 2.54-2.79
O  0.2281  0.3531  0.4550  1 Ru 2.00
Sr  0.9598  0.7393  0.2506  6 O 2.54-2.79
O  0.3044  0.7291  0.5416  1 Ru 1.99
O  0.7281  0.6469  0.0450  1 Ru 2.00

(2)
Computed, not measured: a relaxed AcAg2PbO4 crystal at the PBE level of DFT.

As for the uncorrected energy: -5.424 eV/atom. Its total magnetic moment is 0.000 μB per formula unit. Its formation energy (no corrections) is -10.04 eV per formula unit.

Lattice parameters (Å, degrees): 6.2030 5.6082 5.6082 77.09 56.42 56.42
Closest atoms and distances in Å follow each position.
Fractional positions:
Ag  0.5000  0.2500  0.7500  4 O 2.22
O  0.0000  0.5422  0.0378  2 Ag 2.22
Ag  0.5000  0.7500  0.2500  4 O 2.22
O  0.5801  0.4578  0.9622  2 Ag 2.22
O  0.4199  0.0378  0.5422  2 Ag 2.22
Ac  0.0000  0.0000  0.0000  4 O 2.53
O  0.0000  0.9622  0.4578  2 Ag 2.22
Pb  0.0000  0.5000  0.5000  4 O 2.55

Which formula does entry 2 have?
AcAg2PbO4

Among the records above, which one has the highest formation energy (no corrections)?
AcAg2PbO4